The following is a DFT calculation (PBE) of a relaxed structure of GaOsRu3.

Lattice parameters (Å, degrees): 4.7379 4.7379 4.7379 90.00 90.00 90.00
With the nearest neighbours (Å) after each atom.
Space group Pm-3m (No. 221)
Asymmetric unit:
Ga: 0.0000 0.0000 0.0000  12 Ru 3.35
Os: 0.5000 0.5000 0.5000  6 Ru 2.37
Ru: 0.0000 0.5000 0.5000  2 Os 2.37

**ΔE_f**: 1.607 eV per atom
**Distance to the lowest polymorph of the same formula**: 0 meV per atom